# CdN

A relaxed structure of CdN (GGA-PBE, Alexandria via LeMat-Bulk).

The space group is Pm-3n (No. 223) and the conventional cell measures 6.316, 6.316 and 6.316 Å, with angles of 90.00, 90.00 and 90.00 degrees. Symmetry generates all atoms from Cd at (0.000, 0.250, 0.500) and N at (0.000, 0.500, 0.250).

The calculation puts the distance to the lowest polymorph of the same formula at 1026 meV/atom. The calculated total energy is -3.464 eV per atom.